Entry 1:
A plane-wave DFT calculation with PBE was carried out for a relaxed Nd5Dy3Ho2 crystal.

Excess energy over the best structure of this formula in the dataset, eV/atom: 0.000
Formation energy from the elements, meV per atom: 179.8
VASP energy, eV per atom: -4.500

Cell lengths 10.7273, 14.8775, 10.0521 Å; angles 90.00, 122.25, 90.00 degrees
Space group C2/c (No. 15)
Unique sites:
Nd: 0.0000 0.0186 0.2500 x4
Nd: 0.0000 0.2283 0.2500 x4
Nd: 0.0000 0.4779 0.7500 x4
Nd: 0.2471 0.3708 0.2426 x8
Dy: 0.0000 0.2715 0.7500 x4
Dy: 0.1545 0.3749 0.5571 x8
Ho: 0.1527 0.1281 0.0580 x8

---

Entry 2:
A plane-wave DFT calculation with PBE was carried out for a relaxed KHfMg14 crystal.

Excess energy over the best structure of this formula in the dataset, eV/atom: 0.000
Formation energy from the elements, meV per atom: 109.6
VASP energy, eV per atom: -1.976

Cell lengths 6.7506, 6.7506, 8.4393 Å; angles 90.00, 90.00, 90.00 degrees
Space group P4/mmm (No. 123)
Unique sites:
K: 0.0000 0.0000 0.0000 x1
Hf: 0.5000 0.5000 0.0000 x1
Mg: 0.0000 0.0000 0.5000 x1
Mg: 0.0000 0.5000 0.0000 x2
Mg: 0.0000 0.5000 0.5000 x2
Mg: 0.2643 0.2643 0.2595 x8
Mg: 0.5000 0.5000 0.5000 x1

---

Entry 3:
A plane-wave DFT calculation with PBE was carried out for a relaxed MnFe4H4 crystal.

VASP energy, eV per atom: -6.226

Cell lengths 5.9165, 5.9165, 3.7539 Å; angles 90.00, 90.00, 90.00 degrees
Space group I4/m (No. 87)
Unique sites:
Mn: 0.0000 0.0000 0.0000 x2
Fe: 0.0965 0.2962 0.5000 x8
H: 0.0997 0.3004 0.0000 x8

---

Entry 4:
A plane-wave DFT calculation with PBE was carried out for a relaxed LiVNi2C crystal.

Formation energy from the elements, meV per atom: 67.6
VASP energy, eV per atom: -6.296

Cell lengths 3.7903, 3.7903, 4.0039 Å; angles 90.00, 90.00, 90.00 degrees
Space group P4/mmm (No. 123)
Unique sites:
Li: 0.0000 0.0000 0.0000 x1
V: 0.5000 0.5000 0.0000 x1
Ni: 0.0000 0.5000 0.5000 x2
C: 0.5000 0.5000 0.5000 x1

---

Entry 5:
A plane-wave DFT calculation with PBE was carried out for a relaxed GeTe2N crystal.

Excess energy over the best structure of this formula in the dataset, eV/atom: 0.000
Formation energy (no corrections), kJ per mole of atoms: 75
VASP energy, eV per atom: -4.029

Cell lengths 4.4588, 4.4588, 20.8881 Å; angles 90.00, 90.00, 120.00 degrees
Space group R-3m (No. 166, hexagonal axes)
Unique sites:
Ge: 0.0000 0.0000 0.0000 x3
Te: 0.0000 0.0000 0.4072 x6
N: 0.0000 0.0000 0.5000 x3

---

Entry 6:
A plane-wave DFT calculation with PBE was carried out for a relaxed ScTl2Cd crystal.

Excess energy over the best structure of this formula in the dataset, eV/atom: 0.041
Formation energy from the elements, meV per atom: -95.7
VASP energy, eV per atom: -3.091

Cell lengths 5.2925, 3.5225, 5.6652 Å; angles 90.00, 109.35, 90.00 degrees
Space group P2/m (No. 10)
Unique sites:
Sc: 0.0000 0.0000 0.0000 x1
Tl: 0.5000 0.0000 0.5000 x1
Tl: 0.5000 0.5000 0.0000 x1
Cd: 0.0000 0.5000 0.5000 x1

---

Entry 7:
A plane-wave DFT calculation with PBE was carried out for a relaxed NaNiGeRh2 crystal.

Formation energy from the elements, meV per atom: 815.7
VASP energy, eV per atom: -4.468

Cell lengths 4.5241, 4.5241, 4.5937 Å; angles 90.00, 90.00, 90.00 degrees
Space group P4/mmm (No. 123)
Unique sites:
Na: 0.0000 0.0000 0.0000 x1
Ni: 0.0000 0.0000 0.5000 x1
Ge: 0.5000 0.5000 0.0000 x1
Rh: 0.0000 0.5000 0.5000 x2

---

Entry 8:
A plane-wave DFT calculation with PBE was carried out for a relaxed Li4HgSb crystal.

Excess energy over the best structure of this formula in the dataset, eV/atom: 0.000
Formation energy (no corrections), kJ per mole of atoms: -43
VASP energy, eV per atom: -2.461

Cell lengths 5.0185, 5.0283, 5.0492 Å; angles 90.00, 117.73, 90.00 degrees
Space group Pm (No. 6)
Unique sites:
Li: 0.0000 0.0000 0.0000 x1
Li: 0.0466 0.5000 0.6961 x1
Li: 0.3633 0.5000 0.3789 x1
Li: 0.6694 0.0000 0.3288 x1
Hg: 0.7257 0.5000 0.0601 x1
Sb: 0.3325 0.0000 0.6614 x1